The following is a PBE+U calculation of MnNbO3 after structural relaxation, from Alexandria.

abc: 5.3061 5.3061 14.9676
angles: 90.00 90.00 120.00
Space group R-3 (No. 148, hexagonal axes)
One atom of each set of equivalent atoms:
Mn1 0.0000 0.0000 0.1448 (multiplicity 6)
Nb1 0.0000 0.0000 0.3476 (multiplicity 6)
O1 0.0120 0.3139 0.2536 (multiplicity 18)

Computed properties:
* DFT total energy: -257.07 eV per cell
* total moment: 4.0 μB/f.u.